No. 1
# BMoOs3

A geometry-optimized BMoOs3 structure (PBE, the Alexandria database).

Lattice parameters (Å, degrees): 4.700 4.700 4.700 90.00 90.00 90.00
Space group Pm-3m (No. 221)
Unique sites:
B 0.000 0.000 0.000 (multiplicity 1)
Mo 0.500 0.500 0.500 (multiplicity 1)
Os 0.000 0.500 0.500 (multiplicity 3)

E above lowest polymorph	283.1	kJ/mol of atoms
total DFT energy (no corrections)	-0.52121	Ry/atom
energy of formation	3.15	eV per atom

***

No. 2
# HoLuTe

A geometry-optimized HoLuTe structure (PBE, the Alexandria database).

Lattice parameters (Å, degrees): 5.1127 5.1127 3.8857 90.00 90.00 120.00
Space group P3m1 (No. 156)
Unique sites:
Ho 0.0000 0.0000 0.0000 (multiplicity 1)
Lu 0.6667 0.3333 0.4973 (multiplicity 1)
Te 0.3333 0.6667 0.2774 (multiplicity 1)

E above lowest polymorph	30.1	kJ/mol of atoms
total DFT energy (no corrections)	-0.33204	Ry/atom
formation energy (no corrections)	-0.44	eV/atom

***

No. 3
# K3Ni2Cl8

A geometry-optimized K3Ni2Cl8 structure (PBE, the Alexandria database).

Lattice parameters (Å, degrees): 7.0513 7.0513 26.3705 90.00 90.00 120.00
Space group R-3m (No. 166, hexagonal axes)
Unique sites:
K 0.0000 0.0000 0.0000 (multiplicity 3)
K 0.0000 0.0000 0.2072 (multiplicity 6)
Ni 0.0000 0.0000 0.4085 (multiplicity 6)
Cl 0.0000 0.0000 0.3256 (multiplicity 6)
Cl 0.0084 0.5042 0.7688 (multiplicity 18)

total DFT energy (no corrections)	-0.25230	Ry/atom
formation energy (no corrections)	-1.15	eV/atom

***

No. 4
# Cs3Ga5I12

A geometry-optimized Cs3Ga5I12 structure (PBE, the Alexandria database).

Lattice parameters (Å, degrees): 19.797 19.797 19.797 90.00 90.00 90.00
Space group Ia-3d (No. 230)
Unique sites:
Cs 0.000 0.250 0.125 (multiplicity 24)
Ga 0.000 0.000 0.000 (multiplicity 16)
Ga 0.000 0.250 0.375 (multiplicity 24)
I 0.041 0.046 0.650 (multiplicity 96)

total DFT energy (no corrections)	-0.18774	Ry/atom
formation energy (no corrections)	-0.74	eV/atom

***

No. 5
# Ti2AsHSe

A geometry-optimized Ti2AsHSe structure (PBE, the Alexandria database).

Lattice parameters (Å, degrees): 4.556 4.556 3.367 90.00 90.00 90.00
Space group P4/mmm (No. 123)
Unique sites:
Ti 0.000 0.500 0.000 (multiplicity 2)
As 0.000 0.000 0.500 (multiplicity 1)
H 0.000 0.000 0.000 (multiplicity 1)
Se 0.500 0.500 0.500 (multiplicity 1)

total DFT energy (no corrections)	-0.41833	Ry/atom

***

No. 6
# LaDy4Tm7

A geometry-optimized LaDy4Tm7 structure (PBE, the Alexandria database).

Lattice parameters (Å, degrees): 6.661 6.941 8.672 79.87 76.94 77.15
Space group P-1 (No. 2)
Unique sites:
La 0.000 0.000 0.000 (multiplicity 1)
Dy 0.187 0.601 0.337 (multiplicity 2)
Dy 0.346 0.234 0.682 (multiplicity 2)
Tm 0.000 0.500 0.000 (multiplicity 1)
Tm 0.185 0.103 0.369 (multiplicity 2)
Tm 0.322 0.736 0.669 (multiplicity 2)
Tm 0.478 0.254 0.025 (multiplicity 2)

E above lowest polymorph	0.0	kJ/mol of atoms
total DFT energy (no corrections)	-0.32890	Ry/atom
energy of formation	0.08	eV per atom

***

No. 7
# TmMgSc2

A geometry-optimized TmMgSc2 structure (PBE, the Alexandria database).

Lattice parameters (Å, degrees): 7.406 7.406 7.406 90.00 90.00 90.00
Space group Fm-3m (No. 225)
Unique sites:
Tm 0.000 0.000 0.000 (multiplicity 4)
Mg 0.000 0.000 0.500 (multiplicity 4)
Sc 0.250 0.250 0.250 (multiplicity 8)

E above lowest polymorph	8.7	kJ/mol of atoms
total DFT energy (no corrections)	-0.33724	Ry/atom
energy of formation	0.09	eV per atom

***

No. 8
# AlPd7Pt4

A geometry-optimized AlPd7Pt4 structure (PBE, the Alexandria database).

Lattice parameters (Å, degrees): 4.915 5.348 7.485 104.90 93.38 92.00
Space group P-1 (No. 2)
Unique sites:
Al 0.000 0.000 0.000 (multiplicity 1)
Pd 0.210 0.742 0.620 (multiplicity 2)
Pd 0.241 0.515 0.921 (multiplicity 2)
Pd 0.324 0.229 0.580 (multiplicity 2)
Pd 0.500 0.000 0.000 (multiplicity 1)
Pt 0.171 0.863 0.271 (multiplicity 2)
Pt 0.271 0.374 0.254 (multiplicity 2)

total DFT energy (no corrections)	-0.40453	Ry/atom
energy of formation	-0.15	eV per atom

***

No. 9
# Tb12Pr5Al3

A geometry-optimized Tb12Pr5Al3 structure (PBE, the Alexandria database).

Lattice parameters (Å, degrees): 17.726 17.726 17.726 90.00 90.00 90.00
Space group Ia-3d (No. 230)
Unique sites:
Tb 0.011 0.082 0.655 (multiplicity 96)
Pr 0.000 0.000 0.000 (multiplicity 16)
Pr 0.000 0.250 0.375 (multiplicity 24)
Al 0.000 0.250 0.125 (multiplicity 24)

total DFT energy (no corrections)	-0.27530	Ry/atom
energy of formation	0.79	eV per atom

***

No. 10
# Ca2UCdS6

A geometry-optimized Ca2UCdS6 structure (PBE, the Alexandria database).

Lattice parameters (Å, degrees): 6.9098 6.9098 18.1897 90.00 90.00 120.00
Space group R3 (No. 146, hexagonal axes)
Unique sites:
Ca 0.0000 0.0000 0.0000 (multiplicity 3)
Ca 0.0000 0.0000 0.4895 (multiplicity 3)
U 0.0000 0.0000 0.6932 (multiplicity 3)
Cd 0.0000 0.0000 0.2042 (multiplicity 3)
S 0.0015 0.3847 0.4364 (multiplicity 9)
S 0.0538 0.6908 0.2722 (multiplicity 9)

total DFT energy (no corrections)	-0.40151	Ry/atom
formation energy (no corrections)	-1.37	eV/atom

***

No. 11
# Sr2PmMnSe4

A geometry-optimized Sr2PmMnSe4 structure (PBE, the Alexandria database).

Lattice parameters (Å, degrees): 7.328 4.229 7.418 90.00 109.83 90.00
Space group P2/m (No. 10)
Unique sites:
Sr 0.000 0.000 0.000 (multiplicity 1)
Sr 0.500 0.500 0.000 (multiplicity 1)
Pm 0.000 0.500 0.500 (multiplicity 1)
Mn 0.500 0.000 0.500 (multiplicity 1)
Se 0.251 0.000 0.734 (multiplicity 2)
Se 0.271 0.500 0.281 (multiplicity 2)

total DFT energy (no corrections)	-0.39878	Ry/atom
formation energy (no corrections)	-1.52	eV/atom

***

No. 12
# TbBePt

A geometry-optimized TbBePt structure (PBE, the Alexandria database).

Lattice parameters (Å, degrees): 4.0276 4.0276 3.9291 90.00 90.00 120.00
Space group P-6m2 (No. 187)
Unique sites:
Tb 0.0000 0.0000 0.0000 (multiplicity 1)
Be 0.6667 0.3333 0.5000 (multiplicity 1)
Pt 0.3333 0.6667 0.5000 (multiplicity 1)

E above lowest polymorph	0.2	kJ/mol of atoms
total DFT energy (no corrections)	-0.41544	Ry/atom
energy of formation	-0.85	eV per atom

***

| no. | size of the total moment (Bohr magnetons per cell) |
| --- | --- |
| 1 | 1.403 |
| 2 | 0.000 |
| 3 | 15.000 |
| 4 | 0.000 |
| 5 | 0.000 |
| 6 | 0.000 |
| 7 | 0.783 |
| 8 | 0.000 |
| 9 | 0.000 |
| 10 | 0.000 |
| 11 | 4.461 |
| 12 | 0.000 |